Version P
Entry from Alexandria: a relaxed structure of LaCoSbI2 (PBE).

Lattice parameters (Å, degrees): 5.1573 5.1573 5.2940 90.00 90.00 90.00
Last column: nearest neighbours and their distance in Å.
Space group P4/mmm (No. 123)
Asymmetric unit:
La (0.0000, 0.0000, 0.0000) x1  4 Sb 3.65, 8 I 3.70
Co (0.5000, 0.5000, 0.5000) x1  4 I 2.58, 2 Sb 2.65
Sb (0.5000, 0.5000, 0.0000) x1  2 Co 2.65
I (0.0000, 0.5000, 0.5000) x2  2 Co 2.58

Results
calculated volume	28.16	A^3/atom


Version Q
Entry from Alexandria: a relaxed structure of LaCoSbI2 (PBE).

Lattice parameters (Å, degrees): 6.1846 6.1846 6.4715 90.00 90.00 90.00
Last column: nearest neighbours and their distance in Å.
Space group P4/mmm (No. 123)
Asymmetric unit:
La (0.0000, 0.0000, 0.0000) x1  4 I 3.09, 2 Sb 3.24
Co (0.5000, 0.5000, 0.5000) x1  4 Sb 4.37, 8 I 4.48
Sb (0.0000, 0.0000, 0.5000) x1  2 La 3.24
I (0.0000, 0.5000, 0.0000) x2  2 La 3.09

Results
calculated volume	49.51	A^3/atom


It is version Q that is the least stable of them.


Version P
Entry from Alexandria: a relaxed structure of Li2CoI (PBE).

Lattice parameters (Å, degrees): 6.7939 6.7939 6.7939 90.00 90.00 90.00
Last column: nearest neighbours and their distance in Å.
Space group Fm-3m (No. 225)
Asymmetric unit:
Li (0.2500, 0.2500, 0.2500) x8  4 Co 2.94, 4 I 2.94
Co (0.0000, 0.0000, 0.0000) x4  8 Li 2.94
I (0.0000, 0.0000, 0.5000) x4  8 Li 2.94

Results
calculated volume	19.60	A^3/atom


Version Q
Entry from Alexandria: a relaxed structure of Li2CoI (PBE).

Lattice parameters (Å, degrees): 7.4833 7.4833 5.3870 90.00 90.00 90.00
Last column: nearest neighbours and their distance in Å.
Space group I-42d (No. 122)
Asymmetric unit:
Li (0.2281, 0.2500, 0.1250) x8  2 Co 2.62, 2 Li 2.71, 2 I 2.85
Co (0.0000, 0.0000, 0.0000) x4  4 Li 2.62, 2 I 2.69
I (0.0000, 0.0000, 0.5000) x4  2 Co 2.69, 4 Li 2.85

Results
calculated volume	18.85	A^3/atom


It is version Q that is the least stable of them.


Version P
Entry from Alexandria: a relaxed structure of LiCoI2 (PBE).

Lattice parameters (Å, degrees): 7.3118 7.3118 7.3118 90.00 90.00 90.00
Last column: nearest neighbours and their distance in Å.
Space group Fm-3m (No. 225)
Asymmetric unit:
Li (0.0000, 0.0000, 0.0000) x4  8 I 3.17
Co (0.0000, 0.0000, 0.5000) x4  8 I 3.17
I (0.2500, 0.2500, 0.2500) x8  4 Li 3.17, 4 Co 3.17

Results
calculated volume	24.43	A^3/atom


Version Q
Entry from Alexandria: a relaxed structure of LiCoI2 (PBE).

Lattice parameters (Å, degrees): 4.1150 4.1150 19.8249 90.00 90.00 120.00
Last column: nearest neighbours and their distance in Å.
Space group R-3m (No. 166, hexagonal axes)
Asymmetric unit:
Li (0.0000, 0.0000, 0.0000) x3  6 I 2.98
Co (0.0000, 0.0000, 0.5000) x3  6 I 2.81
I (0.0000, 0.0000, 0.2422) x6  3 Co 2.81, 3 Li 2.98

Results
calculated volume	24.23	A^3/atom


Version R
Entry from Alexandria: a relaxed structure of LiCoI2 (PBE).

Lattice parameters (Å, degrees): 6.2412 6.2412 12.1740 90.00 90.00 90.00
Last column: nearest neighbours and their distance in Å.
Space group I-42d (No. 122)
Asymmetric unit:
Li (0.0000, 0.0000, 0.0000) x4  4 I 2.77
Co (0.0000, 0.0000, 0.5000) x4  4 I 2.59
I (0.2256, 0.2500, 0.6250) x8  2 Co 2.59, 2 Li 2.77

Results
calculated volume	29.64	A^3/atom


It is version P that is the least stable of them.


Version P
Entry from Alexandria: a relaxed structure of LiCoIN2 (PBE).

Lattice parameters (Å, degrees): 3.7650 3.7650 5.7262 90.00 90.00 90.00
Last column: nearest neighbours and their distance in Å.
Space group P4/mmm (No. 123)
Asymmetric unit:
Li (0.0000, 0.0000, 0.0000) x1  4 N 1.88
Co (0.5000, 0.5000, 0.5000) x1  4 I 2.66
I (0.0000, 0.0000, 0.5000) x1  4 Co 2.66, 2 Li 2.86
N (0.0000, 0.5000, 0.0000) x2  2 Li 1.88

Results
calculated volume	16.23	A^3/atom


Version Q
Entry from Alexandria: a relaxed structure of LiCoIN2 (PBE).

Lattice parameters (Å, degrees): 3.5896 3.5896 8.2391 90.00 90.00 90.00
Last column: nearest neighbours and their distance in Å.
Space group P4/mmm (No. 123)
Asymmetric unit:
Li (0.0000, 0.0000, 0.0000) x1  4 I 2.54
Co (0.5000, 0.5000, 0.5000) x1  4 N 1.79
I (0.5000, 0.5000, 0.0000) x1  4 Li 2.54
N (0.0000, 0.5000, 0.5000) x2  2 Co 1.79

Results
calculated volume	21.23	A^3/atom


It is version P that is the least stable of them.


Version P
Entry from Alexandria: a relaxed structure of LiCoSb2I (PBE).

Lattice parameters (Å, degrees): 4.9371 4.9371 5.4321 90.00 90.00 90.00
Last column: nearest neighbours and their distance in Å.
Space group P4/mmm (No. 123)
Asymmetric unit:
Li (0.0000, 0.0000, 0.0000) x1  4 Sb 2.47, 2 I 2.72
Co (0.5000, 0.5000, 0.5000) x1  4 I 3.49, 8 Sb 3.67
Sb (0.0000, 0.5000, 0.0000) x2  2 Li 2.47
I (0.0000, 0.0000, 0.5000) x1  2 Li 2.72

Results
calculated volume	26.48	A^3/atom


Version Q
Entry from Alexandria: a relaxed structure of LiCoSb2I (PBE).

Lattice parameters (Å, degrees): 4.6608 4.6608 9.9568 90.00 90.00 90.00
Last column: nearest neighbours and their distance in Å.
Space group P4/mmm (No. 123)
Asymmetric unit:
Li (0.0000, 0.0000, 0.0000) x1  4 I 3.30
Co (0.5000, 0.5000, 0.5000) x1  4 Sb 2.33
Sb (0.0000, 0.5000, 0.5000) x2  2 Co 2.33
I (0.5000, 0.5000, 0.0000) x1  4 Li 3.30

Results
calculated volume	43.26	A^3/atom


It is version P that is the least stable of them.


Version P
Entry from Alexandria: a relaxed structure of LiCoTe2I (PBE).

Lattice parameters (Å, degrees): 4.9120 4.9120 6.5796 90.00 90.00 90.00
Last column: nearest neighbours and their distance in Å.
Space group P4/mmm (No. 123)
Asymmetric unit:
Li (0.0000, 0.0000, 0.0000) x1  4 I 3.47
Co (0.5000, 0.5000, 0.5000) x1  4 Te 2.46
Te (0.0000, 0.5000, 0.5000) x2  2 Co 2.46
I (0.5000, 0.5000, 0.0000) x1  2 Co 3.29, 4 Li 3.47

Results
calculated volume	31.75	A^3/atom


Version Q
Entry from Alexandria: a relaxed structure of LiCoTe2I (PBE).

Lattice parameters (Å, degrees): 4.7538 4.7538 7.1889 90.00 90.00 90.00
Last column: nearest neighbours and their distance in Å.
Space group P4/mmm (No. 123)
Asymmetric unit:
Li (0.0000, 0.0000, 0.0000) x1  4 Te 2.38
Co (0.5000, 0.5000, 0.5000) x1  4 I 3.36
Te (0.0000, 0.5000, 0.0000) x2  2 Li 2.38
I (0.0000, 0.0000, 0.5000) x1  4 Co 3.36, 2 Li 3.59

Results
calculated volume	32.49	A^3/atom


It is version Q that is the least stable of them.


Version P
Entry from Alexandria: a relaxed structure of MgCo2I (PBE).

Lattice parameters (Å, degrees): 6.3020 6.3020 6.3020 90.00 90.00 90.00
Last column: nearest neighbours and their distance in Å.
Space group Fm-3m (No. 225)
Asymmetric unit:
Mg (0.0000, 0.0000, 0.0000) x4  8 Co 2.73
Co (0.2500, 0.2500, 0.2500) x8  4 Mg 2.73, 4 I 2.73
I (0.0000, 0.0000, 0.5000) x4  8 Co 2.73

Results
calculated volume	15.64	A^3/atom


Version Q
Entry from Alexandria: a relaxed structure of MgCo2I (PBE).

Lattice parameters (Å, degrees): 4.1867 4.1867 16.9258 90.00 90.00 90.00
Last column: nearest neighbours and their distance in Å.
Space group I-42d (No. 122)
Asymmetric unit:
Mg (0.0000, 0.0000, 0.0000) x4  4 Co 2.72, 4 I 2.96
Co (0.1779, 0.2500, 0.6250) x8  2 I 2.48, 2 Co 2.57, 2 Mg 2.72
I (0.0000, 0.0000, 0.5000) x4  4 Co 2.48

Results
calculated volume	18.54	A^3/atom


It is version Q that is the least stable of them.


Version P
Entry from Alexandria: a relaxed structure of MgCoI2 (PBE).

Lattice parameters (Å, degrees): 7.3085 7.3085 7.3085 90.00 90.00 90.00
Last column: nearest neighbours and their distance in Å.
Space group Fm-3m (No. 225)
Asymmetric unit:
Mg (0.0000, 0.0000, 0.0000) x4  8 I 3.16
Co (0.0000, 0.0000, 0.5000) x4  8 I 3.16
I (0.2500, 0.2500, 0.2500) x8  4 Co 3.16, 4 Mg 3.16

Results
calculated volume	24.40	A^3/atom


Version Q
Entry from Alexandria: a relaxed structure of MgCoI2 (PBE).

Lattice parameters (Å, degrees): 6.2282 6.2282 12.1641 90.00 90.00 90.00
Last column: nearest neighbours and their distance in Å.
Space group I-42d (No. 122)
Asymmetric unit:
Mg (0.0000, 0.0000, 0.0000) x4  4 I 2.84
Co (0.0000, 0.0000, 0.5000) x4  4 I 2.53
I (0.2072, 0.2500, 0.6250) x8  2 Co 2.53

Results
calculated volume	29.49	A^3/atom


It is version P that is the least stable of them.